No. 1
## LiZn2Pt (PBE-GGA)

Data for a geometry-optimized LiZn2Pt structure.

As for the theoretical density: 9.91 g/cm³. The calculation puts the final energy at -3.107 eV per atom. Its size of the total moment is 0.00 Bohr magnetons per cell.

The space group is Imma (No. 74) and the conventional cell measures 5.484, 7.410 and 5.487 Å, with angles of 90.00, 90.00 and 90.00 degrees. The asymmetric unit holds Li at (0.000, 0.250, 0.001), Zn at (0.250, 0.001, 0.750) and Pt at (0.000, 0.250, 0.499).

***

No. 2
## CoReSiW (PBE-GGA)

Data for a geometry-optimized CoReSiW structure.

As for the theoretical density: 13.93 g/cm³. For the energy above the most stable polymorph in this dataset, the calculation gives 0.00 eV per formula unit. Its size of the total moment is 7.20 Bohr magnetons per cell.

The space group is F-43m (No. 216) and the conventional cell measures 6.018, 6.018 and 6.018 Å, with angles of 90.00, 90.00 and 90.00 degrees. The asymmetric unit holds Co at (0.000, 0.000, 0.000), Re at (0.000, 0.000, 0.500), Si at (0.250, 0.250, 0.750) and W at (0.250, 0.250, 0.250).

***

No. 3
## Dy2YZn3Ir2Pt (PBE-GGA)

Data for a geometry-optimized Dy2YZn3Ir2Pt structure.

As for the theoretical density: 11.34 g/cm³. The calculation puts the final energy at -5.592 eV per atom. Its size of the total moment is 0.01 Bohr magnetons per cell.

The space group is Amm2 (No. 38) and the conventional cell measures 3.892, 12.470 and 7.177 Å, with angles of 90.00, 90.00 and 90.00 degrees. The asymmetric unit holds Dy at (0.000, 0.204, 0.000), Y at (0.000, 0.000, 0.612), Zn at (0.500, 0.000, 0.949), Zn at (0.500, 0.126, 0.331), Ir at (0.500, 0.168, 0.705) and Pt at (0.000, 0.000, 0.202).

***

No. 4
## LiMgTaPd (PBE-GGA)

Data for a geometry-optimized LiMgTaPd structure.

As for the theoretical density: 8.37 g/cm³. For the energy above the most stable polymorph in this dataset, the calculation gives 0.00 eV per formula unit. Its size of the total moment is 0.01 Bohr magnetons per cell.

The space group is F-43m (No. 216) and the conventional cell measures 6.322, 6.322 and 6.322 Å, with angles of 90.00, 90.00 and 90.00 degrees. The asymmetric unit holds Li at (0.000, 0.000, 0.000), Mg at (0.250, 0.250, 0.250), Ta at (0.250, 0.250, 0.750) and Pd at (0.000, 0.000, 0.500).

***

No. 5
## CsCuTeMoS2 (PBE-GGA)

Data for a geometry-optimized CsCuTeMoS2 structure.

As for the theoretical density: 5.01 g/cm³. The calculation puts the final energy at -4.969 eV per atom. Its size of the total moment is 8.10 Bohr magnetons per cell.

The space group is Cmcm (No. 63) and the conventional cell measures 3.794, 16.857 and 10.041 Å, with angles of 90.00, 90.00 and 90.00 degrees. The asymmetric unit holds Cs at (0.000, 0.219, 0.250), Cu at (0.000, 0.475, 0.750), Te at (0.000, 0.082, 0.750), Mo at (0.000, 0.000, 0.000) and S at (0.000, 0.408, 0.557).

***

No. 6
## PrNdCu2Bi2Sb2 (PBE-GGA)

Data for a geometry-optimized PrNdCu2Bi2Sb2 structure.

As for the theoretical density: 8.84 g/cm³. The calculation puts the final energy at -4.778 eV per atom. Its size of the total moment is 0.00 Bohr magnetons per cell.

The space group is P4mm (No. 99) and the conventional cell measures 4.501, 4.501 and 9.952 Å, with angles of 90.00, 90.00 and 90.00 degrees. The asymmetric unit holds Pr at (0.000, 0.000, 0.000), Nd at (0.500, 0.500, 0.470), Cu at (0.000, 0.500, 0.236), Bi at (0.000, 0.500, 0.734), Sb at (0.000, 0.000, 0.386) and Sb at (0.500, 0.500, 0.086).

***

No. 7
## Zr4HgC2S (PBE-GGA)

Data for a geometry-optimized Zr4HgC2S structure.

As for the theoretical density: 7.61 g/cm³. The calculation puts the final energy at -8.099 eV per atom. Its size of the total moment is 0.01 Bohr magnetons per cell.

The space group is P-6m2 (No. 187) and the conventional cell measures 3.3962, 3.3962 and 13.5814 Å, with angles of 90.00, 90.00 and 120.00 degrees. The asymmetric unit holds Zr at (0.0000, 0.0000, 0.1352), Zr at (0.3333, 0.6667, 0.3185), Hg at (0.0000, 0.0000, 0.5000), C at (0.6667, 0.3333, 0.2287) and S at (0.3333, 0.6667, 0.0000).

***

No. 8
## GdErB2Pd2N2 (PBE-GGA)

Data for a geometry-optimized GdErB2Pd2N2 structure.

As for the theoretical density: 9.34 g/cm³. The calculation puts the final energy at -7.245 eV per atom. Its size of the total moment is 0.00 Bohr magnetons per cell.

The space group is P4mm (No. 99) and the conventional cell measures 3.699, 3.699 and 7.625 Å, with angles of 90.00, 90.00 and 90.00 degrees. The asymmetric unit holds Gd at (0.000, 0.000, 0.000), Er at (0.500, 0.500, 0.675), B at (0.000, 0.000, 0.510), B at (0.500, 0.500, 0.162), Pd at (0.000, 0.500, 0.338), N at (0.000, 0.000, 0.697) and N at (0.500, 0.500, 0.974).